Density functional theory data (GGA-PBE) for a relaxed LaTbSmY crystal.

abc: 5.1451 5.1451 10.2468
angles: 90.00 90.00 90.00
Last column: nearest neighbours and their distance in Å.
Space group I-4m2 (No. 119)
Inequivalent atoms, fractional coordinates:
1 La 0.0000 0.0000 0.0000  4 Tb 3.63, 4 Sm 3.63, 4 Y 3.64
2 Tb 0.0000 0.5000 0.7500  4 La 3.63, 4 Y 3.63, 4 Sm 3.64
3 Sm 0.0000 0.5000 0.2500  4 La 3.63, 4 Y 3.63, 4 Tb 3.64
4 Y 0.0000 0.0000 0.5000  4 Tb 3.63, 4 Sm 3.63, 4 La 3.64

The energy of formation is 30.0 meV/atom.

---

Density functional theory data (GGA-PBE) for a relaxed SrHg2F crystal.

abc: 10.5590 10.5590 4.6292
angles: 90.00 90.00 90.00
Last column: nearest neighbours and their distance in Å.
Space group I-42d (No. 122)
Inequivalent atoms, fractional coordinates:
1 Sr 0.0000 0.0000 0.0000  2 F 2.31
2 Hg 0.1584 0.2500 0.6250  2 Hg 3.02, 2 F 3.18
3 F 0.0000 0.0000 0.5000  2 Sr 2.31

---

no.,E above lowest polymorph (meV per atom)
1,0
2,0